## TlNiF3 (GGA+U)

Data for crystalline TlNiF3 at its relaxed geometry.

It has space group P6_3/mmc (No. 194), with a = 3.6417 Å, b = 3.6417 Å, c = 14.3927 Å, α = 90.00°, β = 90.00° and γ = 120.00°. The asymmetric unit holds Tl at (0.0000, 0.0000, 0.0000), Ni at (0.3333, 0.6667, 0.2500), F at (0.0000, 0.0000, 0.2500) and F at (0.3333, 0.6667, 0.1151).

As for the total energy: -36.15 eV per cell. The offset from the most stable computed form comes out at 517.1 meV per atom. The crystal system is hexagonal.